Below is a geometry-optimized PrHg2As2Pd7 structure, with properties calculated at the PBE level.

```
PrHg2As2Pd7
1.0
2.872 -2.863 0.000
2.872 2.863 0.000
-2.002 0.000 14.616
Pr Hg As Pd
1 2 2 7
Cartesian
0.000 0.000 0.000
-0.118 0.000 5.933
3.860 0.000 8.683
0.871 0.000 10.924
2.871 0.000 3.693
1.436 1.432 2.263
1.000 0.000 8.511
2.306 1.432 12.354
2.872 0.000 0.000
1.436 -1.432 2.263
2.742 0.000 6.106
2.306 -1.432 12.354
```

Computed properties:
calculated formation energy	-362.9	meV per atom
total DFT energy (no corrections)	-55.39	eV/cell
SG	No. 12
size of the total moment	0.00	Bohr magnetons per cell

Below is a geometry-optimized Rb2HgAsPd structure, with properties calculated at the PBE level.

```
Rb2HgAsPd
1.0
6.604 0.000 0.000
0.000 6.604 0.000
0.000 0.000 4.663
Rb Hg As Pd
2 1 1 1
Cartesian
0.000 3.302 0.000
3.302 0.000 0.000
0.000 0.000 2.331
3.302 3.302 2.331
3.302 3.302 0.000
```

Computed properties:
calculated formation energy	-245.7	meV per atom
total DFT energy (no corrections)	-13.31	eV/cell
SG	No. 123
size of the total moment	0.15	Bohr magnetons per cell
energy above the lowest structure with this stoichiometry	0.0	kJ/mol of atoms